--- i ---
TbEr2Sc7 after structural relaxation, computed with PBE. Values from VASP.

```
&SYSTEM
  ibrav = 0, nat = 10, ntyp = 3
/
ATOMIC_SPECIES
Tb 158.93 Tb.upf
Er 167.26 Er.upf
Sc 44.96 Sc.upf
ATOMIC_POSITIONS crystal
Tb 0.000 0.000 0.000
Er 0.206 0.603 0.206
Er 0.794 0.397 0.794
Sc 0.000 0.500 0.500
Sc 0.198 0.095 0.695
Sc 0.399 0.699 0.897
Sc 0.402 0.201 0.403
Sc 0.598 0.799 0.597
Sc 0.601 0.301 0.103
Sc 0.802 0.905 0.305
CELL_PARAMETERS angstrom
5.751 0.000 0.000
-0.976 5.712 0.000
-2.866 -2.407 7.997
```

- Total magnetic moment: 0.00 Bohr magnetons per cell
- Space-group type: No. 2

***

--- ii ---
TbEr2Sc7 after structural relaxation, computed with PBE. Values from VASP.

```
&SYSTEM
  ibrav = 0, nat = 10, ntyp = 3
/
ATOMIC_SPECIES
Tb 158.93 Tb.upf
Er 167.26 Er.upf
Sc 44.96 Sc.upf
ATOMIC_POSITIONS crystal
Tb 0.000 0.000 0.000
Er 0.289 0.711 0.500
Er 0.711 0.289 0.500
Sc 0.148 0.347 0.500
Sc 0.183 0.817 0.000
Sc 0.347 0.148 0.500
Sc 0.500 0.500 0.500
Sc 0.653 0.852 0.500
Sc 0.817 0.183 0.000
Sc 0.852 0.653 0.500
CELL_PARAMETERS angstrom
3.007 -13.540 0.000
3.007 13.540 0.000
0.000 0.000 3.321
```

- Total magnetic moment: 0.01 Bohr magnetons per cell
- Space-group type: No. 65

***

Relative energy table, unit meV/atom: i 0; ii 96

***

--- i ---
Tb5ErSc after structural relaxation, computed with PBE. Values from VASP.

```
&SYSTEM
  ibrav = 0, nat = 14, ntyp = 3
/
ATOMIC_SPECIES
Tb 158.93 Tb.upf
Er 167.26 Er.upf
Sc 44.96 Sc.upf
ATOMIC_POSITIONS crystal
Tb 0.000 0.000 0.000
Tb 0.000 0.275 0.260
Tb 0.000 0.725 0.260
Tb 0.228 0.500 0.956
Tb 0.272 0.000 0.456
Tb 0.500 0.225 0.760
Tb 0.500 0.500 0.500
Tb 0.500 0.775 0.760
Tb 0.728 0.000 0.456
Tb 0.772 0.500 0.956
Er 0.000 0.500 0.613
Er 0.500 0.000 0.113
Sc 0.000 0.000 0.706
Sc 0.500 0.500 0.206
CELL_PARAMETERS angstrom
6.503 0.000 0.000
0.000 6.575 0.000
0.000 0.000 10.194
```

- Total magnetic moment: 0.00 Bohr magnetons per cell
- Space-group type: No. 44

***

--- ii ---
Tb5ErSc after structural relaxation, computed with PBE. Values from VASP.

```
&SYSTEM
  ibrav = 0, nat = 7, ntyp = 3
/
ATOMIC_SPECIES
Tb 158.93 Tb.upf
Er 167.26 Er.upf
Sc 44.96 Sc.upf
ATOMIC_POSITIONS crystal
Tb 0.000 0.000 0.000
Tb 0.139 0.289 0.571
Tb 0.287 0.575 0.147
Tb 0.427 0.861 0.711
Tb 0.714 0.436 0.859
Er 0.575 0.148 0.286
Sc 0.856 0.718 0.429
CELL_PARAMETERS angstrom
6.071 0.000 0.000
-1.020 5.992 0.000
-1.005 -1.206 5.875
```

- Total magnetic moment: 0.00 Bohr magnetons per cell
- Space-group type: No. 1

***

Relative energy table, unit meV/atom: i 223; ii 0

***

--- i ---
TbErThSc after structural relaxation, computed with PBE. Values from VASP.

```
&SYSTEM
  ibrav = 0, nat = 16, ntyp = 4
/
ATOMIC_SPECIES
Tb 158.93 Tb.upf
Er 167.26 Er.upf
Th 232.04 Th.upf
Sc 44.96 Sc.upf
ATOMIC_POSITIONS crystal
Tb 0.000 0.000 0.000
Tb 0.000 0.500 0.500
Tb 0.500 0.000 0.500
Tb 0.500 0.500 0.000
Er 0.250 0.250 0.750
Er 0.250 0.750 0.250
Er 0.750 0.250 0.250
Er 0.750 0.750 0.750
Th 0.000 0.000 0.500
Th 0.000 0.500 0.000
Th 0.500 0.000 0.000
Th 0.500 0.500 0.500
Sc 0.250 0.250 0.250
Sc 0.250 0.750 0.750
Sc 0.750 0.250 0.750
Sc 0.750 0.750 0.250
CELL_PARAMETERS angstrom
7.826 0.000 0.000
0.000 7.826 0.000
0.000 0.000 7.826
```

- Total magnetic moment: 0.00 Bohr magnetons per cell
- Space-group type: No. 216

***

--- ii ---
TbErThSc after structural relaxation, computed with PBE. Values from VASP.

```
&SYSTEM
  ibrav = 0, nat = 12, ntyp = 4
/
ATOMIC_SPECIES
Tb 158.93 Tb.upf
Er 167.26 Er.upf
Th 232.04 Th.upf
Sc 44.96 Sc.upf
ATOMIC_POSITIONS crystal
Tb 0.000 0.000 0.000
Tb 0.333 0.667 0.667
Tb 0.667 0.333 0.333
Er 0.000 0.000 0.754
Er 0.333 0.667 0.420
Er 0.667 0.333 0.087
Th 0.000 0.000 0.171
Th 0.333 0.667 0.838
Th 0.667 0.333 0.504
Sc 0.000 0.000 0.585
Sc 0.333 0.667 0.251
Sc 0.667 0.333 0.918
CELL_PARAMETERS angstrom
3.527 0.000 0.000
-1.764 3.054 0.000
0.000 0.000 33.236
```

- Total magnetic moment: 0.20 Bohr magnetons per cell
- Space-group type: No. 160

***

Relative energy table, unit meV/atom: i 79; ii 0

***

--- i ---
TbErScTl after structural relaxation, computed with PBE. Values from VASP.

```
&SYSTEM
  ibrav = 0, nat = 4, ntyp = 4
/
ATOMIC_SPECIES
Tb 158.93 Tb.upf
Er 167.26 Er.upf
Sc 44.96 Sc.upf
Tl 204.38 Tl.upf
ATOMIC_POSITIONS crystal
Tb 0.000 0.000 0.000
Er 0.000 0.500 0.500
Sc 0.500 0.500 0.000
Tl 0.500 0.000 0.500
CELL_PARAMETERS angstrom
4.717 0.000 0.000
0.000 4.741 0.000
0.000 0.000 4.766
```

- Total magnetic moment: 1.11 Bohr magnetons per cell
- Space-group type: No. 47

***

--- ii ---
TbErScTl after structural relaxation, computed with PBE. Values from VASP.

```
&SYSTEM
  ibrav = 0, nat = 16, ntyp = 4
/
ATOMIC_SPECIES
Tb 158.93 Tb.upf
Er 167.26 Er.upf
Sc 44.96 Sc.upf
Tl 204.38 Tl.upf
ATOMIC_POSITIONS crystal
Tb 0.000 0.000 0.000
Tb 0.000 0.500 0.500
Tb 0.500 0.000 0.500
Tb 0.500 0.500 0.000
Er 0.000 0.000 0.500
Er 0.000 0.500 0.000
Er 0.500 0.000 0.000
Er 0.500 0.500 0.500
Sc 0.250 0.250 0.250
Sc 0.250 0.750 0.750
Sc 0.750 0.250 0.750
Sc 0.750 0.750 0.250
Tl 0.250 0.250 0.750
Tl 0.250 0.750 0.250
Tl 0.750 0.250 0.250
Tl 0.750 0.750 0.750
CELL_PARAMETERS angstrom
7.572 0.000 0.000
0.000 7.572 0.000
0.000 0.000 7.572
```

- Total magnetic moment: 5.43 Bohr magnetons per cell
- Space-group type: No. 216

***

Relative energy table, unit meV/atom: i 0; ii 121

***

--- i ---
TbErTmSc after structural relaxation, computed with PBE. Values from VASP.

```
&SYSTEM
  ibrav = 0, nat = 8, ntyp = 4
/
ATOMIC_SPECIES
Tb 158.93 Tb.upf
Er 167.26 Er.upf
Tm 168.93 Tm.upf
Sc 44.96 Sc.upf
ATOMIC_POSITIONS crystal
Tb 0.000 0.000 0.000
Tb 0.500 0.500 0.500
Er 0.000 0.500 0.250
Er 0.500 0.000 0.750
Tm 0.000 0.500 0.750
Tm 0.500 0.000 0.250
Sc 0.000 0.000 0.500
Sc 0.500 0.500 0.000
CELL_PARAMETERS angstrom
4.900 0.000 0.000
0.000 4.900 0.000
0.000 0.000 9.710
```

- Total magnetic moment: 0.00 Bohr magnetons per cell
- Space-group type: No. 119

***

--- ii ---
TbErTmSc after structural relaxation, computed with PBE. Values from VASP.

```
&SYSTEM
  ibrav = 0, nat = 16, ntyp = 4
/
ATOMIC_SPECIES
Tb 158.93 Tb.upf
Er 167.26 Er.upf
Tm 168.93 Tm.upf
Sc 44.96 Sc.upf
ATOMIC_POSITIONS crystal
Tb 0.000 0.000 0.000
Tb 0.000 0.500 0.500
Tb 0.500 0.000 0.500
Tb 0.500 0.500 0.000
Er 0.000 0.000 0.500
Er 0.000 0.500 0.000
Er 0.500 0.000 0.000
Er 0.500 0.500 0.500
Tm 0.250 0.250 0.750
Tm 0.250 0.750 0.250
Tm 0.750 0.250 0.250
Tm 0.750 0.750 0.750
Sc 0.250 0.250 0.250
Sc 0.250 0.750 0.750
Sc 0.750 0.250 0.750
Sc 0.750 0.750 0.250
CELL_PARAMETERS angstrom
7.780 0.000 0.000
0.000 7.780 0.000
0.000 0.000 7.780
```

- Total magnetic moment: 0.01 Bohr magnetons per cell
- Space-group type: No. 216

***

Relative energy table, unit meV/atom: i 0; ii 78

***

--- i ---
ErScTc after structural relaxation, computed with PBE. Values from VASP.

```
&SYSTEM
  ibrav = 0, nat = 12, ntyp = 3
/
ATOMIC_SPECIES
Er 167.26 Er.upf
Sc 44.96 Sc.upf
Tc 98.00 Tc.upf
ATOMIC_POSITIONS crystal
Er 0.049 0.250 0.178
Er 0.451 0.750 0.678
Er 0.549 0.250 0.322
Er 0.951 0.750 0.822
Sc 0.186 0.250 0.636
Sc 0.314 0.750 0.136
Sc 0.686 0.250 0.864
Sc 0.814 0.750 0.364
Tc 0.127 0.750 0.444
Tc 0.373 0.250 0.944
Tc 0.627 0.750 0.056
Tc 0.873 0.250 0.556
CELL_PARAMETERS angstrom
8.306 0.000 0.000
0.000 4.956 0.000
0.000 0.000 6.466
```

- Total magnetic moment: 0.00 Bohr magnetons per cell
- Space-group type: No. 62

***

--- ii ---
ErScTc after structural relaxation, computed with PBE. Values from VASP.

```
&SYSTEM
  ibrav = 0, nat = 6, ntyp = 3
/
ATOMIC_SPECIES
Er 167.26 Er.upf
Sc 44.96 Sc.upf
Tc 98.00 Tc.upf
ATOMIC_POSITIONS crystal
Er 0.000 0.000 0.000
Er 0.500 0.500 0.500
Sc 0.000 0.000 0.268
Sc 0.500 0.500 0.768
Tc 0.000 0.000 0.645
Tc 0.500 0.500 0.145
CELL_PARAMETERS angstrom
3.379 0.000 0.000
0.000 3.379 0.000
0.000 0.000 11.581
```

- Total magnetic moment: 0.00 Bohr magnetons per cell
- Space-group type: No. 107

***

Relative energy table, unit meV/atom: i 94; ii 0